Na3CoRh: optimized geometry, PBE.

crystal system: cubic
relative energy among the computed polymorphs: 0.079 eV per atom
energy of formation from the pure elements: 1.30 eV per atom
final energy: -2.387 eV per atom

```
data_Na3CoRh
_chemical_formula_sum 'Na3 Co1 Rh1'
_cell_length_a 5.194
_cell_length_b 5.194
_cell_length_c 5.194
_cell_angle_alpha 90.00
_cell_angle_beta 90.00
_cell_angle_gamma 90.00
_space_group_name_H-M_alt 'P m -3 m'
_space_group_IT_number 221
_space_group_name_Hall '-P 4 2 3'
loop_
_atom_site_label
_atom_site_type_symbol
_atom_site_fract_x
_atom_site_fract_y
_atom_site_fract_z
Na1 Na 0.000 0.000 0.500
Co1 Co 0.000 0.000 0.000
Rh1 Rh 0.500 0.500 0.500
```